(1)
An optimized crystal structure of BePdPbAu. Source: Alexandria, functional PBE. Values from VASP.

Output
The value obtained for the density is 10.97 g/cm3. Its total magnetization is 0.00 μB/cell. The total energy comes out at -3.9824 eV/atom.

Quantum ESPRESSO input file:
```
&SYSTEM
  ibrav = 0, nat = 4, ntyp = 4
/
ATOMIC_SPECIES
Be 9.01 Be.upf
Pd 106.42 Pd.upf
Pb 207.20 Pb.upf
Au 196.97 Au.upf
CELL_PARAMETERS angstrom
3.978 0.000 0.000
-0.024 4.472 0.000
-0.012 -1.094 4.420
ATOMIC_POSITIONS angstrom
Be 0.000 0.000 0.000
Pd 3.938 -0.051 2.353
Pb 1.940 2.149 2.749
Au 3.929 2.234 0.528
```

---

(2)
An optimized crystal structure of ReB3C. Source: Alexandria, functional PBE. Values from VASP.

Output
The value obtained for the density is 5.51 g/cm3. Its total magnetization is 1.18 μB/cell. The total energy comes out at -5.8735 eV/atom.

Quantum ESPRESSO input file:
```
&SYSTEM
  ibrav = 0, nat = 5, ntyp = 3
/
ATOMIC_SPECIES
Re 186.21 Re.upf
B 10.81 B.upf
C 12.01 C.upf
CELL_PARAMETERS angstrom
4.112 0.000 0.000
0.000 4.112 0.000
0.000 0.000 4.112
ATOMIC_POSITIONS angstrom
Re 0.000 0.000 0.000
B 0.000 0.000 2.056
B 0.000 2.056 0.000
B 2.056 0.000 0.000
C 2.056 2.056 2.056
```

---

(3)
An optimized crystal structure of LaTb5Tl3. Source: Alexandria, functional PBE. Values from VASP.

Output
The value obtained for the density is 9.73 g/cm3. Its total magnetization is 3.53 μB/cell. The total energy comes out at -4.1731 eV/atom.

Quantum ESPRESSO input file:
```
&SYSTEM
  ibrav = 0, nat = 18, ntyp = 3
/
ATOMIC_SPECIES
La 138.91 La.upf
Tb 158.93 Tb.upf
Tl 204.38 Tl.upf
CELL_PARAMETERS angstrom
9.463 0.000 0.000
-4.731 8.195 0.000
0.000 0.000 6.810
ATOMIC_POSITIONS angstrom
La 0.000 0.000 0.000
La 0.000 0.000 3.405
Tb -1.555 2.693 1.703
Tb -3.177 5.502 5.108
Tb 3.110 0.000 1.703
Tb 1.555 2.693 5.108
Tb 0.000 5.463 0.000
Tb 0.000 5.463 3.405
Tb 4.731 2.732 0.000
Tb 4.731 2.732 3.405
Tb 6.353 0.000 5.108
Tb 3.177 5.502 1.703
Tl -1.617 2.801 5.108
Tl -3.114 5.394 1.703
Tl 3.235 0.000 5.108
Tl 1.617 2.801 1.703
Tl 6.228 0.000 1.703
Tl 3.114 5.394 5.108
```

---

(4)
An optimized crystal structure of Tm5SiBi2. Source: Alexandria, functional PBE. Values from VASP.

Output
The value obtained for the density is 7.63 g/cm3. The value obtained for the uncorrected formation energy is -188 meV per atom. Its total magnetization is 0.01 μB/cell.

Quantum ESPRESSO input file:
```
&SYSTEM
  ibrav = 0, nat = 16, ntyp = 3
/
ATOMIC_SPECIES
Tm 168.93 Tm.upf
Si 28.09 Si.upf
Bi 208.98 Bi.upf
CELL_PARAMETERS angstrom
2.796 -7.588 0.000
2.796 7.588 0.000
0.000 0.000 13.239
ATOMIC_POSITIONS angstrom
Tm 2.796 6.397 8.154
Tm 2.796 6.397 11.705
Tm 2.796 3.154 3.310
Tm 2.796 3.000 7.321
Tm 2.796 3.000 12.538
Tm 2.796 -3.000 0.701
Tm 2.796 -3.000 5.919
Tm 2.796 -3.154 9.929
Tm 2.796 -6.397 1.534
Tm 2.796 -6.397 5.086
Si 2.796 4.340 9.929
Si 2.796 -4.340 3.310
Bi 2.796 5.661 1.409
Bi 2.796 5.661 5.211
Bi 2.796 -5.661 8.028
Bi 2.796 -5.661 11.831
```

---

(5)
An optimized crystal structure of SrZnHBr2. Source: Alexandria, functional PBE. Values from VASP.

Output
The value obtained for the density is 3.27 g/cm3. Its total magnetization is 0.00 μB/cell. The total energy comes out at -2.1211 eV/atom.

Quantum ESPRESSO input file:
```
&SYSTEM
  ibrav = 0, nat = 5, ntyp = 4
/
ATOMIC_SPECIES
Sr 87.62 Sr.upf
Zn 65.41 Zn.upf
H 1.01 H.upf
Br 79.90 Br.upf
CELL_PARAMETERS angstrom
5.002 0.000 0.000
0.000 5.002 0.000
0.000 0.000 6.366
ATOMIC_POSITIONS angstrom
Sr 0.000 0.000 0.000
Zn 0.000 0.000 3.183
H 2.501 2.501 0.000
Br 0.000 2.501 3.183
Br 2.501 0.000 3.183
```

---

(6)
An optimized crystal structure of CaSi2Pd5Au. Source: Alexandria, functional PBE. Values from VASP.

Output
The value obtained for the density is 8.86 g/cm3. The value obtained for the uncorrected formation energy is -473 meV per atom. Its total magnetization is 0.00 μB/cell.

Quantum ESPRESSO input file:
```
&SYSTEM
  ibrav = 0, nat = 9, ntyp = 4
/
ATOMIC_SPECIES
Ca 40.08 Ca.upf
Si 28.09 Si.upf
Pd 106.42 Pd.upf
Au 196.97 Au.upf
CELL_PARAMETERS angstrom
4.594 0.000 0.000
0.000 4.594 0.000
0.000 0.000 7.329
ATOMIC_POSITIONS angstrom
Ca 0.000 0.000 0.000
Si 2.297 2.297 2.519
Si 2.297 2.297 4.810
Pd 0.000 2.297 1.885
Pd 0.000 2.297 5.443
Pd 2.297 0.000 1.885
Pd 2.297 0.000 5.443
Pd 2.297 2.297 0.000
Au 0.000 0.000 3.664
```